# NaUP2O8

Crystalline NaUP2O8 at its relaxed geometry (GGA-PBE, Alexandria).

M_tot = 1.00 μB per cell
energy relative to the elements, uncorrected = -2489 meV per atom
mass density = 4.1 g/cm3
space-group type = P-3m1, No. 164
E_tot = -0.5694 Ry per atom

Cell: 5.446 5.446 7.106 Å, 90.00 90.00 120.00°
Element x y z (fractional)
1 Na 0.000 0.000 0.000
2 U 0.000 0.000 0.500
3 P 0.333 0.667 0.226
4 P 0.667 0.333 0.774
5 O 0.180 0.360 0.315
6 O 0.180 0.820 0.315
7 O 0.333 0.667 0.017
8 O 0.360 0.180 0.685
9 O 0.640 0.820 0.315
10 O 0.667 0.333 0.983
11 O 0.820 0.180 0.685
12 O 0.820 0.640 0.685